VASP calculation (PBE) on crystalline Li3ScGa at its relaxed geometry.

Values from the calculation:
Space group: Pm-3m

Cell: 5.284 5.284 5.284 Å, 90.00 90.00 90.00°
Fractional positions:
Li1 0.000 0.000 0.500
Li2 0.000 0.500 0.000
Li3 0.500 0.000 0.000
Sc1 0.000 0.000 0.000
Ga1 0.500 0.500 0.500

VASP calculation (PBE) on crystalline LiSc2Ga4 at its relaxed geometry.

Values from the calculation:
Space group: I4/mmm

Cell: 7.701 7.701 7.701 Å, 147.20 147.20 47.07°
Fractional positions:
Li1 0.000 0.000 0.000
Sc1 0.365 0.365 0.000
Sc2 0.635 0.635 0.000
Ga1 0.000 0.500 0.500
Ga2 0.169 0.169 0.000
Ga3 0.500 0.000 0.500
Ga4 0.831 0.831 0.000

VASP calculation (PBE) on crystalline LiSc2Ga at its relaxed geometry.

Values from the calculation:
Space group: Immm

Cell: 6.520 6.520 6.520 Å, 152.70 133.70 54.58°
Fractional positions:
Li1 0.000 0.000 0.000
Sc1 0.258 0.258 0.000
Sc2 0.742 0.742 0.000
Ga1 0.500 0.500 0.000

VASP calculation (PBE) on crystalline LiScGa3 at its relaxed geometry.

Values from the calculation:
Space group: Pm-3m
Relative energy among the computed polymorphs (eV/atom): 0.344

Cell: 4.491 4.491 4.491 Å, 90.00 90.00 90.00°
Fractional positions:
Li1 0.000 0.000 0.000
Sc1 0.500 0.500 0.500
Ga1 0.000 0.000 0.500
Ga2 0.000 0.500 0.000
Ga3 0.500 0.000 0.000

VASP calculation (PBE) on crystalline LiScGa at its relaxed geometry.

Values from the calculation:
Space group: P2/m
Relative energy among the computed polymorphs (eV/atom): 0.255

Cell: 4.552 3.023 4.797 Å, 90.00 90.19 90.00°
Fractional positions:
Li1 0.000 0.000 0.000
Sc1 0.500 0.000 0.500
Ga1 0.500 0.500 0.000

VASP calculation (PBE) on crystalline LiSc3Ga2 at its relaxed geometry.

Values from the calculation:
Space group: P-3m1

Cell: 4.757 4.757 11.718 Å, 90.00 90.00 120.00°
Fractional positions:
Li1 0.333 0.667 0.172
Li2 0.667 0.333 0.828
Sc1 0.000 0.000 0.255
Sc2 0.000 0.000 0.745
Sc3 0.333 0.667 0.420
Sc4 0.333 0.667 0.918
Sc5 0.667 0.333 0.082
Sc6 0.667 0.333 0.580
Ga1 0.000 0.000 0.000
Ga2 0.000 0.000 0.500
Ga3 0.333 0.667 0.680
Ga4 0.667 0.333 0.320

no.,E (eV per cell),DFT formation energy (eV/atom)
1,-10.18,0.984
2,-27.56,-0.126
3,-16.69,0.229
4,-17.37,-0.009
5,-11.58,-0.103
6,-59.28,-0.446